This record from the Alexandria database describes crystalline CrBr at its relaxed geometry. The functional is GGA-PBE.

## Properties
ΔE_f (raw) (eV per atom): 0.17
Total energy (eV for the cell shown): -87.69
Total moment (μB per formula unit): 1.00
SG: P2_12_12_1, No. 19

Geometry as CIF:
```
data_CrBr
_chemical_formula_sum 'Cr8 Br8'
_symmetry_space_group_name_H-M 'P 1'
_symmetry_Int_Tables_number 1
_symmetry_space_group_name_Hall 'P 1'
_cell_length_a 7.119
_cell_length_b 5.902
_cell_length_c 8.608
_cell_angle_alpha 90.00
_cell_angle_beta 90.00
_cell_angle_gamma 90.00
loop_
_atom_site_label
_atom_site_type_symbol
_atom_site_fract_x
_atom_site_fract_y
_atom_site_fract_z
Br1 Br 0.828 0.468 0.834
Br2 Br 0.172 0.968 0.666
Br3 Br 0.328 0.032 0.166
Br4 Br 0.141 0.475 0.490
Br5 Br 0.641 0.025 0.510
Br6 Br 0.359 0.525 0.990
Br7 Br 0.859 0.975 0.010
Br8 Br 0.672 0.532 0.334
Cr1 Cr 0.865 0.889 0.290
Cr2 Cr 0.112 0.831 0.342
Cr3 Cr 0.135 0.389 0.210
Cr4 Cr 0.612 0.669 0.658
Cr5 Cr 0.888 0.331 0.158
Cr6 Cr 0.635 0.111 0.790
Cr7 Cr 0.365 0.611 0.710
Cr8 Cr 0.388 0.169 0.842
```

---

This record from the Alexandria database describes crystalline Pm5ErTe8 at its relaxed geometry. The functional is GGA-PBE.

## Properties
ΔE_f (raw) (eV per atom): -1.38
Total energy (eV for the cell shown): -72.75
Total moment (μB per formula unit): 0.00
SG: I-4, No. 82

Geometry as CIF:
```
data_Pm5ErTe8
_chemical_formula_sum 'Pm5 Er1 Te8'
_symmetry_space_group_name_H-M 'P 1'
_symmetry_Int_Tables_number 1
_symmetry_space_group_name_Hall 'P 1'
_cell_length_a 8.188
_cell_length_b 8.188
_cell_length_c 8.188
_cell_angle_alpha 109.75
_cell_angle_beta 108.92
_cell_angle_gamma 109.75
loop_
_atom_site_label
_atom_site_type_symbol
_atom_site_fract_x
_atom_site_fract_y
_atom_site_fract_z
Te1 Te 0.625 0.400 0.874
Te2 Te 0.273 0.254 0.383
Te3 Te 0.981 0.110 0.727
Te4 Te 0.474 0.600 0.225
Te5 Te 0.126 0.751 0.526
Te6 Te 0.617 0.890 0.871
Te7 Te 0.775 0.249 0.375
Te8 Te 0.129 0.746 0.019
Pm1 Pm 0.375 0.132 0.006
Pm2 Pm 0.500 0.000 0.500
Pm3 Pm 0.994 0.369 0.127
Pm4 Pm 0.873 0.868 0.243
Pm5 Pm 0.757 0.631 0.625
Er1 Er 0.250 0.500 0.750
```